# GdHfMgZn, optimized geometry, DFT GGA-PBE
data_GdHfMgZn
_space_group_name_H-M_alt 'F -4 3 m'
_space_group_IT_number 216
_space_group_name_Hall 'F -4 2 3'
_cell_length_a 7.076
_cell_length_b 7.076
_cell_length_c 7.076
_cell_angle_alpha 90.00
_cell_angle_beta 90.00
_cell_angle_gamma 90.00
loop_
_atom_site_label
_atom_site_type_symbol
_atom_site_fract_x
_atom_site_fract_y
_atom_site_fract_z
_atom_site_occupancy
Gd1 Gd 0.000 0.000 0.000 1
Hf1 Hf 0.000 0.000 0.500 1
Mg1 Mg 0.250 0.250 0.250 1
Zn1 Zn 0.250 0.250 0.750 1
# **DFT formation energy**: 0.009 eV per atom

***

# Al2TlZnN, optimized geometry, DFT GGA-PBE
data_Al2TlZnN
_space_group_name_H-M_alt 'P 4/m m m'
_space_group_IT_number 123
_space_group_name_Hall '-P 4 2'
_cell_length_a 5.473
_cell_length_b 5.473
_cell_length_c 4.296
_cell_angle_alpha 90.00
_cell_angle_beta 90.00
_cell_angle_gamma 90.00
loop_
_atom_site_label
_atom_site_type_symbol
_atom_site_fract_x
_atom_site_fract_y
_atom_site_fract_z
_atom_site_occupancy
Al1 Al 0.000 0.500 0.000 1
Tl1 Tl 0.000 0.000 0.000 1
Zn1 Zn 0.500 0.500 0.500 1
N1 N 0.000 0.000 0.500 1
# **Raw formation energy**: 1.42 eV per atom

***

# Tb10Dy4Pu, optimized geometry, DFT GGA-PBE
data_Tb10Dy4Pu
_space_group_name_H-M_alt 'I 4/m'
_space_group_IT_number 87
_space_group_name_Hall '-I 4'
_cell_length_a 9.680
_cell_length_b 9.680
_cell_length_c 10.454
_cell_angle_alpha 90.00
_cell_angle_beta 90.00
_cell_angle_gamma 90.00
loop_
_atom_site_label
_atom_site_type_symbol
_atom_site_fract_x
_atom_site_fract_y
_atom_site_fract_z
_atom_site_occupancy
Tb1 Tb 0.000 0.500 0.250 1
Tb2 Tb 0.114 0.788 0.159 1
Dy1 Dy 0.064 0.672 0.500 1
Pu1 Pu 0.000 0.000 0.500 1
# **DFT formation energy**: 0.380 eV per atom